# 1
LiCoSO4F after structural relaxation. Source: the Alexandria database, functional GGA-PBEsol.

Properties
**SG**: P-1, No. 2

Unit cell a=5.1467 b=5.3680 c=7.1457 alpha=106.65 beta=107.68 gamma=99.52
Closest atoms and distances in Å follow each position.
Sites, in units of the cell vectors:
Li: 0.2160 0.3501 0.1983  1 F 1.83, 3 O 1.99-2.03
Li: 0.7840 0.6499 0.8017  1 F 1.83, 3 O 1.99-2.03
Co: 0.5000 0.0000 0.0000  2 F 2.00, 4 O 2.05-2.09
Co: 0.5000 0.0000 0.5000  2 F 1.95, 4 O 2.05-2.12
S: 0.1787 0.3544 0.7478  4 O 1.47-1.50
S: 0.8213 0.6456 0.2522  4 O 1.47-1.50
O: 0.0984 0.7680 0.4266  1 S 1.47
O: 0.1856 0.6409 0.8588  1 S 1.50
O: 0.2134 0.2123 0.9011  1 S 1.49
O: 0.4139 0.3528 0.6673  1 S 1.49
O: 0.5861 0.6472 0.3327  1 S 1.49
O: 0.7866 0.7877 0.0989  1 S 1.49
O: 0.8144 0.3591 0.1412  1 S 1.50
O: 0.9016 0.2320 0.5734  1 S 1.47
F: 0.3752 0.0814 0.2440  1 Li 1.83, 2 Co 1.95-2.00
F: 0.6248 0.9186 0.7560  1 Li 1.83, 2 Co 1.95-2.00

---

# 2
MgCoF6 after structural relaxation. Source: the Alexandria database, functional GGA-PBEsol.

Properties
**SG**: R-3, No. 148

Unit cell a=5.1711 b=5.1711 c=5.1711 alpha=56.17 beta=56.17 gamma=56.17
Closest atoms and distances in Å follow each position.
Sites, in units of the cell vectors:
Mg: 0.0000 0.0000 0.0000  6 F 2.00
Co: 0.5000 0.5000 0.5000  6 F 1.78
F: 0.1334 0.3986 0.7309  1 Co 1.78, 1 Mg 2.00
F: 0.2691 0.8666 0.6014  1 Co 1.78, 1 Mg 2.00
F: 0.3986 0.7309 0.1334  1 Co 1.78, 1 Mg 2.00
F: 0.6014 0.2691 0.8666  1 Co 1.78, 1 Mg 2.00
F: 0.7309 0.1334 0.3986  1 Co 1.78, 1 Mg 2.00
F: 0.8666 0.6014 0.2691  1 Co 1.78, 1 Mg 2.00

---

# 3
RbMgCoF6 after structural relaxation. Source: the Alexandria database, functional GGA-PBEsol.

Properties
**SG**: Imma, No. 74

Unit cell a=7.0612 b=7.0612 c=7.0612 alpha=121.01 beta=119.57 gamma=89.50
Closest atoms and distances in Å follow each position.
Sites, in units of the cell vectors:
Rb: 0.3820 0.1320 0.2500  6 F 2.90-3.22
Rb: 0.6180 0.8680 0.7500  6 F 2.90-3.22
Mg: 0.0000 0.5000 0.5000  6 F 1.95-1.99
Mg: 0.5000 0.5000 0.0000  6 F 1.95-1.99
Co: 0.0000 0.0000 0.5000  6 F 1.83-1.84
Co: 0.0000 0.5000 0.0000  6 F 1.83-1.84
F: 0.0613 0.8113 0.2500  2 Co 1.84
F: 0.0633 0.4172 0.2263  1 Co 1.83, 1 Mg 1.99
F: 0.0633 0.8370 0.6460  1 Co 1.83, 1 Mg 1.99
F: 0.3091 0.1630 0.7263  1 Co 1.83, 1 Mg 1.99
F: 0.3091 0.5828 0.1460  1 Co 1.83, 1 Mg 1.99
F: 0.3292 0.5792 0.7500  2 Mg 1.95
F: 0.6708 0.4208 0.2500  2 Mg 1.95
F: 0.6909 0.4172 0.8540  1 Co 1.83, 1 Mg 1.99
F: 0.6909 0.8370 0.2737  1 Co 1.83, 1 Mg 1.99
F: 0.9367 0.1630 0.3540  1 Co 1.83, 1 Mg 1.99
F: 0.9367 0.5828 0.7737  1 Co 1.83, 1 Mg 1.99
F: 0.9387 0.1887 0.7500  2 Co 1.84

---

# 4
MgCo2ReF after structural relaxation. Source: the Alexandria database, functional GGA-PBEsol.

Properties
**SG**: P4/mmm, No. 123

Unit cell a=4.0892 b=4.0892 c=4.0108 alpha=90.00 beta=90.00 gamma=90.00
Closest atoms and distances in Å follow each position.
Sites, in units of the cell vectors:
Mg: 0.0000 0.0000 0.0000  8 Co 2.86, 4 Re 2.89
Co: 0.0000 0.5000 0.5000  2 F 2.04
Co: 0.5000 0.0000 0.5000  2 F 2.04
Re: 0.5000 0.5000 0.0000  2 F 2.01
F: 0.5000 0.5000 0.5000  2 Re 2.01, 4 Co 2.04

---

# 5
MnCo2F after structural relaxation. Source: the Alexandria database, functional GGA-PBEsol.

Properties
**SG**: Fm-3m, No. 225

Unit cell a=3.9015 b=3.9015 c=3.9015 alpha=60.00 beta=60.00 gamma=60.00
Closest atoms and distances in Å follow each position.
Sites, in units of the cell vectors:
Mn: 0.0000 0.0000 0.0000  8 Co 2.39
Co: 0.2500 0.2500 0.2500  4 F 2.39, 4 Mn 2.39
Co: 0.7500 0.7500 0.7500  4 F 2.39, 4 Mn 2.39
F: 0.5000 0.5000 0.5000  8 Co 2.39

---

# 6
MnCo2MoF after structural relaxation. Source: the Alexandria database, functional GGA-PBEsol.

Properties
**SG**: P4/mmm, No. 123

Unit cell a=4.2136 b=4.2136 c=3.5446 alpha=90.00 beta=90.00 gamma=90.00
Closest atoms and distances in Å follow each position.
Sites, in units of the cell vectors:
Mn: 0.0000 0.0000 0.0000  2 F 1.77
Co: 0.0000 0.5000 0.0000  2 Mn 2.11
Co: 0.5000 0.0000 0.0000  2 Mn 2.11
Mo: 0.5000 0.5000 0.5000  8 Co 2.75, 4 F 2.98
F: 0.0000 0.0000 0.5000  2 Mn 1.77

---

| no. | total DFT energy (no corrections) (Ry/atom) | total moment (μB/atom) | raw formation energy (eV per atom) |
| --- | --- | --- | --- |
| 1 | -0.456 | 0.38 | -1.577 |
| 2 | -0.363 | 0.13 | -2.318 |
| 3 | -0.374 | 0.01 | -2.637 |
| 4 | -0.419 | 0.84 | 0.788 |
| 5 | -0.472 | 0.40 | 0.370 |
| 6 | -0.515 | 0.31 | 0.783 |